# 1
VASP calculation (GGA-PBEsol) on crystalline CdAs2Cl at its relaxed geometry.

Values from the calculation:
The value obtained for the spin magnetization is 0.0 μB/cell. The value obtained for the volume is 24.054 Å³/atom. As for the space-group type: No. 44. Its formation energy from raw total energies is -0.123 eV/atom. For the calculated total energy, the calculation gives -3.48 eV/atom. The value obtained for the energy above the most stable polymorph in this dataset is 120 meV/atom.

extended XYZ file:
```
4
Lattice="-1.8923 -0.1191 2.9475 1.5491 -3.1837 0.8659 5.6440 5.3098 1.7544" Properties=species:S:1:pos:R:3 pbc="T T T"
As 4.7546 1.6419 5.2025
As 4.4844 0.8883 2.9150
Cl 0.8524 1.1429 2.6770
Cd 0.3383 -1.3105 2.2478
```

# 2
VASP calculation (GGA-PBEsol) on crystalline Cd2AsCl at its relaxed geometry.

Values from the calculation:
The value obtained for the spin magnetization is 0.0 μB/cell. The value obtained for the volume is 28.586 Å³/atom. As for the space-group type: No. 122. Its formation energy from raw total energies is -0.368 eV/atom. For the calculated total energy, the calculation gives -2.74 eV/atom. The value obtained for the energy above the most stable polymorph in this dataset is 0 meV/atom.

extended XYZ file:
```
8
Lattice="5.9749 0.0000 0.0000 0.0000 5.9749 0.0000 -2.9874 -2.9874 6.4059" Properties=species:S:1:pos:R:3 pbc="T T T"
As 0.0000 2.9874 3.2030
As 0.0000 0.0000 0.0000
Cd 1.2908 4.4812 1.6015
Cd 4.6840 1.4937 1.6015
Cd -1.4937 -1.6966 4.8044
Cd 1.4937 1.6966 4.8044
Cl 2.9874 0.0000 3.2030
Cl 2.9874 2.9874 0.0000
```

# 3
VASP calculation (GGA-PBEsol) on crystalline Cd2AsCl at its relaxed geometry.

Values from the calculation:
The value obtained for the spin magnetization is 0.0 μB/cell. The value obtained for the volume is 21.781 Å³/atom. As for the space-group type: No. 65. Its formation energy from raw total energies is -0.107 eV/atom. For the calculated total energy, the calculation gives -2.48 eV/atom. The value obtained for the energy above the most stable polymorph in this dataset is 261 meV/atom.

extended XYZ file:
```
4
Lattice="-2.3990 2.4751 0.3034 -1.5974 -2.6721 -1.5106 -1.9200 -2.6941 6.7960" Properties=species:S:1:pos:R:3 pbc="T T T"
As -1.9982 -0.0985 -0.6036
Cl -2.9582 -1.4455 2.7944
Cd -0.4508 -0.6325 1.5955
Cd -1.4693 -2.0616 5.2005
```

Q: The highest energy above the most stable polymorph in this dataset belongs to which entry?
A: number 3